First-principles (PBEsol) data for a relaxed K2CrAg crystal, as listed in Alexandria via LeMat-Bulk.

a b c (Å): 5.690 5.690 5.690
angles (deg): 60.00 60.00 60.00
Element x y z (fractional)
K: 0.250 0.250 0.250
K: 0.750 0.750 0.750
Cr: 0.000 0.000 0.000
Ag: 0.500 0.500 0.500

**DOS at the Fermi energy**: 0.250 states/eV per atom
**ρ**: 3.0 g/cm³
**Formation energy**: 0.865 eV/atom
**Calculated volume**: 32.6 Å³ per atom
**DFT total energy**: -3.09 eV per atom